[1]
Crystalline Ag2HgPd4 at its relaxed geometry, computed with PBE.

Lattice parameters (Å, degrees): 4.6902 4.8172 11.1046 90.00 90.00 90.00
Last column: nearest neighbours and their distance in Å.
Sites, in units of the cell vectors:
Pd: 0.0000 0.9336 0.1814  4 Pd 2.81-2.85, 4 Ag 2.84-2.89, 1 Hg 2.90
Pd: 0.5000 0.7617 0.0634  4 Pd 2.69-2.89, 4 Ag 2.74-2.79, 2 Hg 2.75
Pd: 0.0000 0.0664 0.8186  4 Pd 2.81-2.85, 4 Ag 2.84-2.89, 1 Hg 2.90
Pd: 0.5000 0.2617 0.4366  4 Pd 2.69-2.89, 4 Ag 2.74-2.79, 2 Hg 2.75
Pd: 0.0000 0.5664 0.6814  4 Pd 2.81-2.85, 4 Ag 2.84-2.89, 1 Hg 2.90
Pd: 0.5000 0.2383 0.9366  4 Pd 2.69-2.89, 4 Ag 2.74-2.79, 2 Hg 2.75
Pd: 0.5000 0.7383 0.5634  4 Pd 2.69-2.89, 4 Ag 2.74-2.79, 2 Hg 2.75
Pd: 0.0000 0.4336 0.3186  4 Pd 2.81-2.85, 4 Ag 2.84-2.89, 1 Hg 2.90
Ag: 0.5000 0.2330 0.6853  8 Pd 2.74-2.89, 2 Ag 2.80
Ag: 0.5000 0.2670 0.1853  8 Pd 2.74-2.89, 2 Ag 2.80
Ag: 0.5000 0.7670 0.3147  8 Pd 2.74-2.89, 2 Ag 2.80
Ag: 0.5000 0.7330 0.8147  8 Pd 2.74-2.89, 2 Ag 2.80
Hg: 0.0000 0.0000 0.5000  6 Pd 2.75-2.90
Hg: 0.0000 0.5000 0.0000  6 Pd 2.75-2.90

ΔH_f (0 K)   60 meV/atom
Uncorrected energy   -3.765 eV per atom


[2]
Crystalline Ag2Hg2Pd5 at its relaxed geometry, computed with PBE.

Lattice parameters (Å, degrees): 5.0459 7.1088 8.6126 145.01 61.40 118.14
Last column: nearest neighbours and their distance in Å.
Sites, in units of the cell vectors:
Pd: 0.6696 0.1087 0.8856  3 Hg 2.84-2.89, 6 Pd 2.84-2.93, 3 Ag 2.86-2.91
Pd: 0.3304 0.8913 0.1144  3 Hg 2.84-2.89, 6 Pd 2.84-2.93, 3 Ag 2.86-2.91
Pd: 0.0000 0.0000 0.0000  4 Hg 2.84-2.92, 2 Ag 2.85, 6 Pd 2.90-2.93
Pd: 0.9996 0.3283 0.6645  4 Ag 2.83-2.96, 5 Pd 2.84-2.92, 3 Hg 2.89-2.96
Pd: 0.0004 0.6717 0.3355  4 Ag 2.83-2.96, 5 Pd 2.84-2.92, 3 Hg 2.89-2.96
Ag: 0.6774 0.7740 0.2131  8 Pd 2.83-2.96, 2 Ag 2.85-2.98, 2 Hg 2.88-2.91
Ag: 0.3226 0.2260 0.7869  8 Pd 2.83-2.96, 2 Ag 2.85-2.98, 2 Hg 2.88-2.91
Hg: 0.6598 0.4475 0.5655  8 Pd 2.84-2.96, 2 Ag 2.88-2.91, 2 Hg 2.95-2.98
Hg: 0.3402 0.5525 0.4345  8 Pd 2.84-2.96, 2 Ag 2.88-2.91, 2 Hg 2.95-2.98

ΔH_f (0 K)   -83 meV/atom
Uncorrected energy   -3.669 eV per atom


[3]
Crystalline Ag2Hg2Pd3 at its relaxed geometry, computed with PBE.

Lattice parameters (Å, degrees): 4.2990 7.2837 5.0191 110.12 115.36 90.00
Last column: nearest neighbours and their distance in Å.
Sites, in units of the cell vectors:
Ag: 0.7453 0.6395 0.4907  5 Pd 2.86-2.98, 4 Hg 2.89-2.97, 2 Ag 2.98
Ag: 0.2547 0.3605 0.5093  5 Pd 2.86-2.98, 4 Hg 2.89-2.97, 2 Ag 2.98
Pd: 0.0000 0.5000 0.0000  2 Pd 2.73, 6 Ag 2.86-2.98, 4 Hg 2.99
Pd: 0.7838 0.1178 0.5676  3 Pd 2.67-2.73, 4 Hg 2.83-2.88, 2 Ag 2.86
Pd: 0.2162 0.8822 0.4324  3 Pd 2.67-2.73, 4 Hg 2.83-2.88, 2 Ag 2.86
Hg: 0.4870 0.7790 0.9741  6 Pd 2.83-2.99, 4 Ag 2.89-2.97, 1 Hg 3.14
Hg: 0.5130 0.2210 0.0259  6 Pd 2.83-2.99, 4 Ag 2.89-2.97, 1 Hg 3.14

ΔH_f (0 K)   -26 meV/atom
Uncorrected energy   -3.152 eV per atom


[4]
Crystalline Ag2Hg3Pd7 at its relaxed geometry, computed with PBE.

Lattice parameters (Å, degrees): 4.7882 4.7893 9.8364 106.90 106.86 78.87
Last column: nearest neighbours and their distance in Å.
Sites, in units of the cell vectors:
Pd: 0.0821 0.5819 0.1640  4 Hg 2.82-2.83, 6 Pd 2.82-3.06, 2 Ag 2.85
Pd: 0.2504 0.7499 0.5000  4 Ag 2.83-2.84, 4 Hg 2.86, 4 Pd 3.04-3.06
Pd: 0.0000 0.0000 0.0000  8 Pd 2.82, 4 Hg 3.00-3.04
Pd: 0.9179 0.4181 0.8360  4 Hg 2.82-2.83, 6 Pd 2.82-3.06, 2 Ag 2.85
Pd: 0.7496 0.2501 0.5000  4 Ag 2.83-2.84, 4 Hg 2.86, 4 Pd 3.04-3.06
Pd: 0.5820 0.0820 0.1638  6 Pd 2.82-3.06, 4 Hg 2.82-2.83, 2 Ag 2.85
Pd: 0.4180 0.9180 0.8362  6 Pd 2.82-3.06, 4 Hg 2.82-2.83, 2 Ag 2.85
Hg: 0.5000 0.5000 0.0000  10 Pd 2.82-3.04, 2 Ag 3.04
Hg: 0.8356 0.8356 0.6709  9 Pd 2.83-3.00, 3 Ag 3.04-3.08
Hg: 0.1644 0.1644 0.3291  9 Pd 2.83-3.00, 3 Ag 3.04-3.08
Ag: 0.6669 0.6668 0.3333  8 Pd 2.83-2.85, 4 Hg 3.04-3.08
Ag: 0.3331 0.3332 0.6667  8 Pd 2.83-2.85, 4 Hg 3.04-3.08

ΔH_f (0 K)   -130 meV/atom
Uncorrected energy   -3.710 eV per atom


[5]
Crystalline Ag4HgPd at its relaxed geometry, computed with PBE.

Lattice parameters (Å, degrees): 4.9322 4.9322 5.6803 73.58 73.58 110.40
Last column: nearest neighbours and their distance in Å.
Sites, in units of the cell vectors:
Ag: 0.6732 0.8074 0.7563  2 Pd 2.82-2.93, 7 Ag 2.82-3.13, 2 Hg 2.90-2.94
Ag: 0.6926 0.8268 0.2437  2 Pd 2.82-2.93, 7 Ag 2.82-3.13, 2 Hg 2.90-2.94
Ag: 0.3074 0.1732 0.7563  2 Pd 2.82-2.93, 7 Ag 2.82-3.13, 2 Hg 2.90-2.94
Ag: 0.3268 0.1926 0.2437  2 Pd 2.82-2.93, 7 Ag 2.82-3.13, 2 Hg 2.90-2.94
Pd: 0.0000 0.5000 0.0000  8 Ag 2.82-2.93, 2 Hg 2.84
Hg: 0.0000 0.5000 0.5000  2 Pd 2.84, 8 Ag 2.90-2.94

ΔH_f (0 K)   46 meV/atom
Uncorrected energy   -2.770 eV per atom


[6]
Crystalline Ag2Hg3Pd7 at its relaxed geometry, computed with PBE.

Lattice parameters (Å, degrees): 2.9105 4.6518 16.8035 106.40 90.00 90.00
Last column: nearest neighbours and their distance in Å.
Sites, in units of the cell vectors:
Hg: 0.0000 0.8698 0.6159  2 Hg 2.91, 6 Pd 2.96-2.98, 4 Ag 3.14-3.17
Hg: 0.5000 0.5000 0.0000  10 Pd 2.74-2.93, 2 Hg 2.91
Hg: 0.0000 0.1302 0.3841  2 Hg 2.91, 6 Pd 2.96-2.98, 4 Ag 3.14-3.17
Pd: 0.5000 0.9918 0.8495  8 Pd 2.73-2.91, 1 Ag 2.82, 1 Hg 2.93
Pd: 0.0000 0.5071 0.1459  7 Pd 2.73-2.91, 2 Ag 2.76, 2 Hg 2.84
Pd: 0.5000 0.2961 0.5453  1 Ag 2.70, 4 Pd 2.75-2.91, 6 Hg 2.96-2.98
Pd: 0.5000 0.7039 0.4547  1 Ag 2.70, 4 Pd 2.75-2.91, 6 Hg 2.96-2.98
Pd: 0.5000 0.0082 0.1505  8 Pd 2.73-2.91, 1 Ag 2.82, 1 Hg 2.93
Pd: 0.0000 0.4929 0.8541  7 Pd 2.73-2.91, 2 Ag 2.76, 2 Hg 2.84
Pd: 0.0000 0.0000 0.0000  4 Hg 2.74, 8 Pd 2.88-2.91
Ag: 0.5000 0.5263 0.2871  4 Pd 2.70-2.82, 2 Ag 2.91
Ag: 0.5000 0.4737 0.7129  4 Pd 2.70-2.82, 2 Ag 2.91

ΔH_f (0 K)   37 meV/atom
Uncorrected energy   -3.543 eV per atom


[7]
Crystalline Ag3HgPd7 at its relaxed geometry, computed with PBE.

Lattice parameters (Å, degrees): 5.1807 7.0820 7.0820 82.03 117.53 117.53
Last column: nearest neighbours and their distance in Å.
Sites, in units of the cell vectors:
Pd: 0.5945 0.7810 0.7810  3 Ag 2.67-2.75, 5 Pd 2.68-2.84, 1 Hg 2.73
Pd: 0.6737 0.4209 0.9322  5 Pd 2.72-3.03, 3 Ag 2.73-2.80, 1 Hg 2.82
Pd: 0.6737 0.9322 0.4209  5 Pd 2.72-3.03, 3 Ag 2.73-2.80, 1 Hg 2.82
Pd: 0.0000 0.5000 0.5000  2 Hg 2.59, 2 Pd 2.68, 2 Ag 2.72
Pd: 0.4055 0.2190 0.2190  3 Ag 2.67-2.75, 5 Pd 2.68-2.84, 1 Hg 2.73
Pd: 0.3263 0.5791 0.0678  5 Pd 2.72-3.03, 3 Ag 2.73-2.80, 1 Hg 2.82
Pd: 0.3263 0.0678 0.5791  5 Pd 2.72-3.03, 3 Ag 2.73-2.80, 1 Hg 2.82
Ag: 0.0000 0.2070 0.7930  7 Pd 2.72-2.80
Ag: 0.5000 0.0000 0.0000  6 Pd 2.67-2.73
Ag: 0.0000 0.7930 0.2070  7 Pd 2.72-2.80
Hg: 0.5000 0.5000 0.5000  8 Pd 2.59-2.82

ΔH_f (0 K)   218 meV/atom
Uncorrected energy   -3.892 eV per atom


[8]
Crystalline Ag5Hg2Pd2 at its relaxed geometry, computed with PBE.

Lattice parameters (Å, degrees): 8.1519 5.6965 9.0781 108.29 116.68 90.00
Last column: nearest neighbours and their distance in Å.
Sites, in units of the cell vectors:
Ag: 0.2498 0.7871 0.5000  2 Hg 2.85, 8 Ag 2.92
Ag: 0.3991 0.4364 0.2984  2 Pd 2.77, 5 Ag 2.85-3.06, 2 Hg 2.92
Ag: 0.7502 0.2871 0.5000  2 Hg 2.85, 8 Ag 2.92
Ag: 0.6007 0.6380 0.7016  2 Pd 2.77, 5 Ag 2.85-3.06, 2 Hg 2.92
Ag: 0.8992 0.4361 0.2980  2 Pd 2.77, 5 Ag 2.85-3.07, 2 Hg 2.92
Ag: 0.1008 0.1381 0.7020  2 Pd 2.77, 5 Ag 2.85-3.07, 2 Hg 2.92
Ag: 0.3993 0.9364 0.2984  2 Pd 2.77, 5 Ag 2.85-3.06, 2 Hg 2.92
Ag: 0.8988 0.9361 0.2980  2 Pd 2.77, 5 Ag 2.85-3.07, 2 Hg 2.92
Ag: 0.1012 0.6381 0.7020  2 Pd 2.77, 5 Ag 2.85-3.07, 2 Hg 2.92
Ag: 0.6009 0.1380 0.7016  2 Pd 2.77, 5 Ag 2.85-3.06, 2 Hg 2.92
Pd: 0.3384 0.0375 0.0002  1 Pd 2.64, 1 Hg 2.76, 4 Ag 2.77
Pd: 0.1618 0.5375 0.0002  1 Pd 2.64, 1 Hg 2.76, 4 Ag 2.77
Pd: 0.6616 0.0373 0.9998  1 Pd 2.64, 1 Hg 2.76, 4 Ag 2.77
Pd: 0.8382 0.5373 0.9998  1 Pd 2.64, 1 Hg 2.76, 4 Ag 2.77
Hg: 0.5000 0.5388 0.0000  2 Pd 2.76
Hg: 0.0000 0.0388 0.0000  2 Pd 2.76
Hg: 0.2498 0.2868 0.5000  10 Ag 2.85-2.92
Hg: 0.7502 0.7868 0.5000  10 Ag 2.85-2.92

ΔH_f (0 K)   98 meV/atom
Uncorrected energy   -2.707 eV per atom